PmGa2NiIr: optimized geometry, PBE-GGA.

```
PmGa2NiIr
1.0
-3.359 -1.720 1.675
0.842 -3.541 -1.948
4.112 1.053 4.238
Pm Ga Ni Ir
1 2 1 1
Direct
0.000 0.000 0.000 Pm
0.623 0.623 0.247 Ga
0.377 0.377 0.753 Ga
0.250 0.750 0.500 Ni
0.750 0.250 0.500 Ir
```

Results
Formation energy from the elements (eV/f.u.): -3.10
Calculated total energy (eV/cell): -28.542